Arrangement 1

Density functional theory data (PBE) for PrNiSn2Ir after structural relaxation.

Cell lengths 4.446, 4.446, 10.558 Å; angles 90.00, 90.00, 90.00 degrees
Positions (direct):
1 Sn 0.500 0.500 0.500
2 Sn 0.000 0.500 0.860
3 Sn 0.000 0.000 0.500
4 Sn 0.500 0.000 0.140
5 Ir 0.000 0.000 0.000
6 Ir 0.500 0.500 0.000
7 Ni 0.500 0.000 0.376
8 Ni 0.000 0.500 0.624
9 Pr 0.500 0.000 0.754
10 Pr 0.000 0.500 0.246

## Properties
total moment = 0.0002 μB/atom
space-group type = P4/nmm, No. 129
crystal system = tetragonal
theoretical density = 10.015 g/cm3

=====

Arrangement 2

Density functional theory data (PBE) for PrNiSn2Ir after structural relaxation.

Cell lengths 4.549, 4.549, 10.348 Å; angles 90.00, 90.00, 90.00 degrees
Positions (direct):
1 Pr 0.000 0.500 0.758
2 Pr 0.500 0.000 0.242
3 Sn 0.000 0.000 0.500
4 Sn 0.000 0.500 0.112
5 Sn 0.500 0.500 0.500
6 Sn 0.500 0.000 0.888
7 Ir 0.500 0.000 0.636
8 Ir 0.000 0.500 0.364
9 Ni 0.000 0.000 0.000
10 Ni 0.500 0.500 0.000

## Properties
total moment = 0.0001 μB/atom
space-group type = P4/nmm, No. 129
crystal system = tetragonal
theoretical density = 9.760 g/cm3

=====

Least stable: arrangement 2